Compound: ScMo3F
Source: Alexandria via LeMat-Bulk
Functional: PBE with a Hubbard U
Structure: optimized geometry

a b c (Å): 4.402 4.402 4.402
angles (deg): 90.00 90.00 90.00
Sites, in units of the cell vectors:
Sc  0.000  0.000  0.000
Mo  0.000  0.500  0.500
Mo  0.500  0.000  0.500
Mo  0.500  0.500  0.000
F  0.500  0.500  0.500

Energy relative to the lowest polymorph listed for this composition, meV per atom: 0

Compound: ScMo3F
Source: Alexandria via LeMat-Bulk
Functional: PBE with a Hubbard U
Structure: optimized geometry

a b c (Å): 5.517 5.517 5.517
angles (deg): 90.00 90.00 90.00
Sites, in units of the cell vectors:
Sc  0.000  0.000  0.000
Mo  0.000  0.000  0.500
Mo  0.000  0.500  0.000
Mo  0.500  0.000  0.000
F  0.500  0.500  0.500

Energy relative to the lowest polymorph listed for this composition, meV per atom: 940

Compound: ScMoF2
Source: Alexandria via LeMat-Bulk
Functional: PBE with a Hubbard U
Structure: optimized geometry

a b c (Å): 7.855 7.855 7.855
angles (deg): 25.80 25.80 25.80
Sites, in units of the cell vectors:
Sc  0.000  0.000  0.000
Mo  0.500  0.500  0.500
F  0.087  0.087  0.087
F  0.913  0.913  0.913

Energy relative to the lowest polymorph listed for this composition, meV per atom: 227

Compound: ScMo2F
Source: Alexandria via LeMat-Bulk
Functional: PBE with a Hubbard U
Structure: optimized geometry

a b c (Å): 6.022 6.022 6.022
angles (deg): 97.71 97.71 137.04
Sites, in units of the cell vectors:
Sc  0.000  0.000  0.000
Sc  0.750  0.250  0.500
Mo  0.207  0.625  0.082
Mo  0.375  0.457  0.582
Mo  0.543  0.125  0.918
Mo  0.875  0.793  0.418
F  0.250  0.750  0.500
F  0.500  0.500  0.000

Energy relative to the lowest polymorph listed for this composition, meV per atom: 0

Compound: ScMo2SeF
Source: Alexandria via LeMat-Bulk
Functional: PBE with a Hubbard U
Structure: optimized geometry

a b c (Å): 4.240 4.240 5.651
angles (deg): 90.00 90.00 90.00
Sites, in units of the cell vectors:
Sc  0.000  0.000  0.000
Mo  0.000  0.500  0.500
Mo  0.500  0.000  0.500
Se  0.500  0.500  0.000
F  0.500  0.500  0.500

E_tot, eV per atom: -5.101

Compound: ScMoSe2F
Source: Alexandria via LeMat-Bulk
Functional: PBE with a Hubbard U
Structure: optimized geometry

a b c (Å): 4.916 4.916 6.706
angles (deg): 90.00 90.00 90.00
Sites, in units of the cell vectors:
Sc  0.000  0.000  0.000
Mo  0.000  0.000  0.500
Se  0.000  0.500  0.000
Se  0.500  0.000  0.000
F  0.500  0.500  0.500

E_tot, eV per atom: -4.497

Compound: ScSi2MoF
Source: Alexandria via LeMat-Bulk
Functional: PBE with a Hubbard U
Structure: optimized geometry

a b c (Å): 4.663 4.663 4.150
angles (deg): 90.00 90.00 90.00
Sites, in units of the cell vectors:
Sc  0.000  0.000  0.000
Si  0.000  0.500  0.500
Si  0.500  0.000  0.500
Mo  0.500  0.500  0.000
F  0.500  0.500  0.500

E_tot, eV per atom: -5.158

Compound: ScTiMoF2
Source: Alexandria via LeMat-Bulk
Functional: PBE with a Hubbard U
Structure: optimized geometry

a b c (Å): 3.986 3.986 6.009
angles (deg): 90.00 90.00 90.00
Sites, in units of the cell vectors:
Sc  0.000  0.000  0.000
Ti  0.500  0.500  0.500
Mo  0.500  0.500  0.000
F  0.000  0.500  0.500
F  0.500  0.000  0.500

E_tot, eV per atom: -5.927